Entry 1:
AcNdBiN after structural relaxation, computed with PBE.

Calculated values
Volume   230 Å³ per cell
Density   8.6 Mg/m³
Total energy   -25.72 eV/f.u.
D(E_F)   0.2513 states/eV/atom
Uncorrected formation energy   -1.161 eV/atom

Lattice parameters (Å, degrees): 4.8552 4.8552 9.7630 90.00 90.00 90.00
Space group P4/nmm (No. 129, origin choice 2)
One atom of each set of equivalent atoms:
Ac  0.2500  0.2500  0.1778 (multiplicity 2)
Nd  0.2500  0.7500  0.5000 (multiplicity 2)
Bi  0.2500  0.2500  0.7937 (multiplicity 2)
N  0.2500  0.2500  0.4243 (multiplicity 2)


Entry 2:
PmMg2Ag3 after structural relaxation, computed with PBE.

Calculated values
Volume   543 Å³ per cell
Density   6.3 Mg/m³
Total energy   -17.49 eV/f.u.
ΔE_f   -165 meV/atom
D(E_F)   0.4923 states/eV/atom

Lattice parameters (Å, degrees): 11.2372 8.2167 5.8799 90.00 90.00 90.00
Space group Cmcm (No. 63)
One atom of each set of equivalent atoms:
Pm  0.0000  0.1627  0.2500 (multiplicity 4)
Mg  0.2116  0.5000  0.0000 (multiplicity 8)
Ag  0.0000  0.4660  0.7500 (multiplicity 4)
Ag  0.1357  0.1857  0.7500 (multiplicity 8)


Entry 3:
MgGa after structural relaxation, computed with PBE.

Calculated values
Volume   85 Å³ per cell
Density   3.7 Mg/m³
Total energy   -4.55 eV/f.u.
ΔE_f   35 meV/atom
D(E_F)   0.5297 states/eV/atom

Lattice parameters (Å, degrees): 3.0289 4.8510 5.8129 90.00 90.00 90.00
Space group Immm (No. 71)
One atom of each set of equivalent atoms:
Mg  0.0000  0.0000  0.0000 (multiplicity 2)
Ga  0.0000  0.0000  0.5000 (multiplicity 2)


Entry 4:
In2AsAu after structural relaxation, computed with PBE.

Calculated values
Volume   182 Å³ per cell
Density   9.2 Mg/m³
Total energy   -13.13 eV/f.u.
ΔE_f   69 meV/atom
D(E_F)   0.4071 states/eV/atom

Lattice parameters (Å, degrees): 4.1143 4.1143 10.7468 90.00 90.00 90.00
Space group I-4m2 (No. 119)
One atom of each set of equivalent atoms:
In  0.0000  0.0000  0.0000 (multiplicity 2)
In  0.0000  0.5000  0.2500 (multiplicity 2)
As  0.0000  0.5000  0.7500 (multiplicity 2)
Au  0.0000  0.0000  0.5000 (multiplicity 2)


D(E_F) of number 2 (PmMg2Ag3)? 0.4923 states/eV/atom